(1)
Density functional theory data (PBE) for SrCrRu2I after structural relaxation. Values from VASP.

```
&SYSTEM
  ibrav = 0, nat = 5, ntyp = 4
/
ATOMIC_SPECIES
Sr 87.62 Sr.upf
Cr 52.00 Cr.upf
Ru 101.07 Ru.upf
I 126.90 I.upf
ATOMIC_POSITIONS crystal
Sr 0.000 0.000 0.000
Cr 0.500 0.500 0.000
Ru 0.000 0.500 0.500
Ru 0.500 0.000 0.500
I 0.000 0.000 0.500
CELL_PARAMETERS angstrom
4.935 0.000 0.000
0.000 4.935 0.000
0.000 0.000 5.819
```

Summary:
As for the total moment: 3.1 μB per formula unit. The calculation puts the density of states at the Fermi level at 1.232 states/eV/atom. The raw formation energy comes out at 33.272 kcal/mol of atoms. The energy comes out at -0.356 Ry/atom.

***

(2)
Density functional theory data (PBE) for CrTeRuI2 after structural relaxation. Values from VASP.

```
&SYSTEM
  ibrav = 0, nat = 5, ntyp = 4
/
ATOMIC_SPECIES
Cr 52.00 Cr.upf
Te 127.60 Te.upf
Ru 101.07 Ru.upf
I 126.90 I.upf
ATOMIC_POSITIONS crystal
Cr 0.000 0.000 0.000
Te 0.000 0.000 0.500
Ru 0.500 0.500 0.500
I 0.000 0.500 0.000
I 0.500 0.000 0.000
CELL_PARAMETERS angstrom
5.337 0.000 0.000
0.000 5.337 0.000
0.000 0.000 4.937
```

Summary:
As for the total moment: 0.1 μB per formula unit. The calculation puts the density of states at the Fermi level at 1.843 states/eV/atom. The raw formation energy comes out at 30.991 kcal/mol of atoms. The energy comes out at -0.271 Ry/atom. Its energy above the most stable polymorph in this dataset is 656 meV/atom.

***

(3)
Density functional theory data (PBE) for CrTeRuI2 after structural relaxation. Values from VASP.

```
&SYSTEM
  ibrav = 0, nat = 5, ntyp = 4
/
ATOMIC_SPECIES
Cr 52.00 Cr.upf
Te 127.60 Te.upf
Ru 101.07 Ru.upf
I 126.90 I.upf
ATOMIC_POSITIONS crystal
Cr 0.000 0.000 0.000
Te 0.500 0.500 0.000
Ru 0.500 0.500 0.500
I 0.000 0.500 0.500
I 0.500 0.000 0.500
CELL_PARAMETERS angstrom
5.610 0.000 0.000
0.000 5.610 0.000
0.000 0.000 4.988
```

Summary:
As for the total moment: 4.8 μB per formula unit. The calculation puts the density of states at the Fermi level at 1.067 states/eV/atom. The raw formation energy comes out at 15.874 kcal/mol of atoms. The energy comes out at -0.319 Ry/atom. Its energy above the most stable polymorph in this dataset is 0 meV/atom.

***

(4)
Density functional theory data (PBE) for Cr2SI after structural relaxation. Values from VASP.

```
&SYSTEM
  ibrav = 0, nat = 4, ntyp = 3
/
ATOMIC_SPECIES
Cr 52.00 Cr.upf
S 32.06 S.upf
I 126.90 I.upf
ATOMIC_POSITIONS crystal
Cr 0.250 0.250 0.250
Cr 0.750 0.750 0.750
S 0.000 0.000 0.000
I 0.500 0.500 0.500
CELL_PARAMETERS angstrom
0.000 3.075 3.075
3.075 0.000 3.075
3.075 3.075 0.000
```

Summary:
As for the total moment: 1.6 μB per formula unit. The calculation puts the density of states at the Fermi level at 1.301 states/eV/atom. The raw formation energy comes out at 16.223 kcal/mol of atoms. The energy comes out at -0.406 Ry/atom. Its energy above the most stable polymorph in this dataset is 730 meV/atom.

***

(5)
Density functional theory data (PBE) for CrSI3 after structural relaxation. Values from VASP.

```
&SYSTEM
  ibrav = 0, nat = 5, ntyp = 3
/
ATOMIC_SPECIES
Cr 52.00 Cr.upf
S 32.06 S.upf
I 126.90 I.upf
ATOMIC_POSITIONS crystal
Cr 0.000 0.000 0.000
S 0.500 0.500 0.500
I 0.000 0.500 0.500
I 0.500 0.000 0.500
I 0.500 0.500 0.000
CELL_PARAMETERS angstrom
5.556 0.000 0.000
0.000 5.556 0.000
0.000 0.000 5.556
```

Summary:
As for the total moment: 4.8 μB per formula unit. The calculation puts the density of states at the Fermi level at 0.504 states/eV/atom. The raw formation energy comes out at 13.695 kcal/mol of atoms. The energy comes out at -0.227 Ry/atom. Its energy above the most stable polymorph in this dataset is 0 meV/atom.

***

(6)
Density functional theory data (PBE) for CrS2I after structural relaxation. Values from VASP.

```
&SYSTEM
  ibrav = 0, nat = 4, ntyp = 3
/
ATOMIC_SPECIES
Cr 52.00 Cr.upf
S 32.06 S.upf
I 126.90 I.upf
ATOMIC_POSITIONS crystal
Cr 0.000 0.000 0.000
S 0.056 0.056 0.056
S 0.944 0.944 0.944
I 0.500 0.500 0.500
CELL_PARAMETERS angstrom
1.610 0.929 12.876
-1.610 0.929 12.876
0.000 -1.859 12.876
```

Summary:
As for the total moment: 2.6 μB per formula unit. The calculation puts the density of states at the Fermi level at 1.159 states/eV/atom. The raw formation energy comes out at 15.195 kcal/mol of atoms. The energy comes out at -0.309 Ry/atom. Its energy above the most stable polymorph in this dataset is 978 meV/atom.

***

> Which value of total moment does entry 2 give?

0.1 μB per formula unit

***

> Look up the total moment of the fifth one.

4.8 μB per formula unit